Entry 1:
The following is a PBE-GGA calculation of crystalline TbNdBe2Pd5 at its relaxed geometry, from the Alexandria database.

```
data_TbNdBe2Pd5
_space_group_name_H-M_alt 'P 4/m m m'
_space_group_IT_number 123
_space_group_name_Hall '-P 4 2'
_cell_length_a 4.082
_cell_length_b 4.082
_cell_length_c 9.109
_cell_angle_alpha 90.00
_cell_angle_beta 90.00
_cell_angle_gamma 90.00
loop_
_atom_site_label
_atom_site_type_symbol
_atom_site_fract_x
_atom_site_fract_y
_atom_site_fract_z
Tb1 Tb 0.000 0.000 0.000
Nd1 Nd 0.000 0.000 0.500
Be1 Be 0.500 0.500 0.132
Pd1 Pd 0.000 0.500 0.252
Pd2 Pd 0.500 0.500 0.500
```

Calculated values
N(E_F)   0.35 states/eV/atom
Spin magnetization   0.0 μB/cell
Energy relative to the elements   -0.688 eV per atom
Final energy   -5.446 eV per atom

***

Entry 2:
The following is a PBE-GGA calculation of crystalline Ac2MgAu2 at its relaxed geometry, from the Alexandria database.

```
data_Ac2MgAu2
_space_group_name_H-M_alt 'P 4/m b m'
_space_group_IT_number 127
_space_group_name_Hall '-P 4 2ab'
_cell_length_a 8.352
_cell_length_b 8.352
_cell_length_c 4.256
_cell_angle_alpha 90.00
_cell_angle_beta 90.00
_cell_angle_gamma 90.00
loop_
_atom_site_label
_atom_site_type_symbol
_atom_site_fract_x
_atom_site_fract_y
_atom_site_fract_z
Ac1 Ac 0.170 0.330 0.000
Mg1 Mg 0.000 0.000 0.500
Au1 Au 0.132 0.632 0.500
```

Calculated values
N(E_F)   0.70 states/eV/atom
Spin magnetization   0.0 μB/cell
Energy relative to the elements   -0.699 eV per atom
Final energy   -3.973 eV per atom